Below is crystalline CaCe2Si2Pd2 at its relaxed geometry, with properties calculated at the PBE-GGA level.

Cell lengths 4.2933, 4.2933, 9.5279 Å; angles 76.98, 76.98, 60.00 degrees
Closest atoms and distances in Å follow each position.
Fractional coordinates of all 7 atoms:
Ca 0.0000 0.0000 0.0000  6 Pd 3.19, 6 Si 3.26
Ce 0.1388 0.1388 0.5837  3 Ce 2.92, 4 Si 3.02-3.26, 3 Pd 3.07
Ce 0.8612 0.8612 0.4163  3 Ce 2.92, 4 Si 3.02-3.26, 3 Pd 3.07
Si 0.7432 0.7432 0.7704  3 Pd 2.48
Si 0.2568 0.2568 0.2296  3 Pd 2.48
Pd 0.5937 0.5937 0.2188  3 Si 2.48
Pd 0.4063 0.4063 0.7812  3 Si 2.48

Calculated values
ΔE_f (raw): -0.71 eV/atom
Total magnetic moment: 0.7 μB per formula unit